DFT (PBE) results for crystalline LiTa2Tc at its relaxed geometry.

abc: 4.4542 4.4542 3.1922
angles: 90.00 90.00 90.00
Closest atoms and distances in Å follow each position.
Element x y z (fractional)
1 Li 0.0000 0.0000 0.0000  8 Ta 2.74
2 Ta 0.0000 0.5000 0.5000  4 Tc 2.74, 4 Li 2.74
3 Ta 0.5000 0.0000 0.5000  4 Tc 2.74, 4 Li 2.74
4 Tc 0.5000 0.5000 0.0000  8 Ta 2.74

## Properties
- DOS at the Fermi energy (states/eV per atom) = 0.357
- energy of formation (eV/atom) = 0.035

=====

DFT (PBE) results for crystalline LiTa2Tc at its relaxed geometry.

abc: 2.8042 2.8042 9.3958
angles: 90.00 90.00 111.04
Closest atoms and distances in Å follow each position.
Element x y z (fractional)
1 Li 0.0000 0.0000 0.0000  4 Li 2.80, 4 Ta 2.99
2 Ta 0.5000 0.5000 0.2699  2 Tc 2.68, 4 Ta 2.80, 2 Li 2.99
3 Ta 0.5000 0.5000 0.7301  2 Tc 2.68, 4 Ta 2.80, 2 Li 2.99
4 Tc 0.0000 0.0000 0.5000  4 Ta 2.68, 4 Tc 2.80

## Properties
- DOS at the Fermi energy (states/eV per atom) = 0.524
- energy of formation (eV/atom) = 0.135

=====

DFT (PBE) results for crystalline LiTa3Tc at its relaxed geometry.

abc: 4.8367 4.8367 4.8367
angles: 90.00 90.00 90.00
Closest atoms and distances in Å follow each position.
Element x y z (fractional)
1 Li 0.0000 0.0000 0.0000  12 Ta 3.42
2 Ta 0.0000 0.5000 0.5000  2 Tc 2.42
3 Ta 0.5000 0.0000 0.5000  2 Tc 2.42
4 Ta 0.5000 0.5000 0.0000  2 Tc 2.42
5 Tc 0.5000 0.5000 0.5000  6 Ta 2.42

## Properties
- DOS at the Fermi energy (states/eV per atom) = 0.505
- energy of formation (eV/atom) = 1.141
- polymorph energy (0 for the lowest one) (meV per atom) = 0

=====

DFT (PBE) results for crystalline LiTaTc2 at its relaxed geometry.

abc: 5.1459 5.1459 2.5812
angles: 90.00 90.00 116.03
Closest atoms and distances in Å follow each position.
Element x y z (fractional)
1 Li 0.0000 0.0000 0.0000  2 Li 2.58, 2 Ta 2.73, 8 Tc 2.88
2 Ta 0.5000 0.5000 0.0000  2 Ta 2.58, 2 Li 2.73, 8 Tc 2.88
3 Tc 0.0000 0.5000 0.5000  4 Tc 2.58-2.73, 4 Li 2.88, 4 Ta 2.88
4 Tc 0.5000 0.0000 0.5000  4 Tc 2.58-2.73, 4 Li 2.88, 4 Ta 2.88

## Properties
- DOS at the Fermi energy (states/eV per atom) = 1.113
- energy of formation (eV/atom) = 0.268
- polymorph energy (0 for the lowest one) (meV per atom) = 173